No. 1
Compound: BeReRh
Source: the Alexandria database
Functional: GGA-PBE
Structure: optimized geometry

a = 2.7297 Å, b = 4.0673 Å, c = 6.7564 Å
α = 90.00°, β = 90.00°, γ = 90.00°
With the nearest neighbours (Å) after each atom.
Atoms (fractional coordinates):
Be (0.0000, 0.0000, 0.0000)  2 Be 2.44, 4 Re 2.48-2.51, 4 Rh 2.49
Be (0.0000, 0.5000, 0.1984)  3 Rh 2.25-2.26, 2 Be 2.44
Re (0.5000, 0.0000, 0.3073)  6 Be 2.48-2.56, 3 Re 2.58-2.73
Re (0.5000, 0.0000, 0.6891)  2 Be 2.51, 3 Re 2.58-2.73, 6 Rh 2.61-2.67
Rh (0.0000, 0.5000, 0.5313)  1 Be 2.25
Rh (0.5000, 0.5000, 0.9316)  6 Be 2.26-2.49

Summary:
- DFT total energy (eV/atom) = -7.971
- N(E_F) (states/eV/atom) = 0.853
- ΔE to the lowest computed polymorph (meV/atom) = 150
- symmetry = Pmm2, No. 25
- formation energy from the elements (eV/atom) = -0.129


No. 2
Compound: Si2TcTe
Source: the Alexandria database
Functional: GGA-PBE
Structure: optimized geometry

a = 3.7673 Å, b = 3.7673 Å, c = 5.0285 Å
α = 90.00°, β = 90.00°, γ = 90.00°
With the nearest neighbours (Å) after each atom.
Atoms (fractional coordinates):
Si (0.0000, 0.5000, 0.0000)  4 Si 2.66
Si (0.5000, 0.0000, 0.0000)  4 Si 2.66
Tc (0.0000, 0.0000, 0.5000)  4 Te 2.66
Te (0.5000, 0.5000, 0.5000)  4 Tc 2.66

Summary:
- formation energy without anion corrections (eV/atom) = 0.723
- DFT total energy (eV/atom) = -5.365
- N(E_F) (states/eV/atom) = 0.963
- symmetry = P4/mmm, No. 123


No. 3
Compound: CeLuNiRu
Source: the Alexandria database
Functional: GGA-PBE
Structure: optimized geometry

a = 6.7709 Å, b = 6.7709 Å, c = 6.7709 Å
α = 90.00°, β = 90.00°, γ = 90.00°
With the nearest neighbours (Å) after each atom.
Atoms (fractional coordinates):
Ce (0.0000, 0.0000, 0.0000)  4 Ru 2.93, 4 Ni 2.93
Ce (0.0000, 0.5000, 0.5000)  4 Ru 2.93, 4 Ni 2.93
Ce (0.5000, 0.0000, 0.5000)  4 Ru 2.93, 4 Ni 2.93
Ce (0.5000, 0.5000, 0.0000)  4 Ru 2.93, 4 Ni 2.93
Lu (0.0000, 0.0000, 0.5000)  4 Ru 2.93, 4 Ni 2.93
Lu (0.0000, 0.5000, 0.0000)  4 Ru 2.93, 4 Ni 2.93
Lu (0.5000, 0.0000, 0.0000)  4 Ru 2.93, 4 Ni 2.93
Lu (0.5000, 0.5000, 0.5000)  4 Ru 2.93, 4 Ni 2.93
Ni (0.2500, 0.2500, 0.2500)  4 Ce 2.93, 4 Lu 2.93
Ni (0.2500, 0.7500, 0.7500)  4 Ce 2.93, 4 Lu 2.93
Ni (0.7500, 0.2500, 0.7500)  4 Ce 2.93, 4 Lu 2.93
Ni (0.7500, 0.7500, 0.2500)  4 Ce 2.93, 4 Lu 2.93
Ru (0.2500, 0.2500, 0.7500)  4 Ce 2.93, 4 Lu 2.93
Ru (0.2500, 0.7500, 0.2500)  4 Ce 2.93, 4 Lu 2.93
Ru (0.7500, 0.2500, 0.2500)  4 Ce 2.93, 4 Lu 2.93
Ru (0.7500, 0.7500, 0.7500)  4 Ce 2.93, 4 Lu 2.93

Summary:
- DFT total energy (eV/atom) = -6.764
- N(E_F) (states/eV/atom) = 1.023
- symmetry = F-43m, No. 216
- formation energy from the elements (eV/atom) = -0.386